A relaxed structure of MnZn2In. Source: the Alexandria database, functional GGA-PBEsol.

Calculated values
The formation energy is 164 meV/atom. The volume comes out at 61 Å³/cell.

Lattice parameters (Å, degrees): 4.911 4.911 4.911 133.69 133.44 67.76
Atoms (fractional coordinates):
Mn 0.000 0.000 0.000
Zn 0.501 0.501 0.000
Zn 0.751 0.251 0.500
In 0.250 0.750 0.500

***

A relaxed structure of AlFeTe3. Source: the Alexandria database, functional GGA-PBEsol.

Calculated values
The volume comes out at 129 Å³/cell. The calculation puts the raw formation energy at 0.429 eV/atom.

Lattice parameters (Å, degrees): 5.058 5.058 5.058 90.00 90.00 90.00
Atoms (fractional coordinates):
Al 0.000 0.000 0.000
Fe 0.500 0.500 0.500
Te 0.000 0.500 0.500
Te 0.500 0.000 0.500
Te 0.500 0.500 0.000

***

A relaxed structure of BeAgN2F. Source: the Alexandria database, functional GGA-PBEsol.

Calculated values
The volume comes out at 45 Å³/cell. The calculation puts the raw formation energy at 0.439 eV/atom.

Lattice parameters (Å, degrees): 3.577 3.577 3.547 90.00 90.00 90.00
Atoms (fractional coordinates):
Be 0.000 0.000 0.000
Ag 0.500 0.500 0.500
N 0.000 0.500 0.000
N 0.500 0.000 0.000
F 0.000 0.000 0.500